# 1
Compound: Ca3PuZr2N6
Source: Alexandria via LeMat-Bulk
Functional: PBE-GGA
Structure: optimized geometry

```
data_Ca3PuZr2N6
_chemical_formula_sum 'Ca6 Pu2 Zr4 N12'
_space_group_name_H-M_alt 'C 1 2/m 1'
_space_group_IT_number 12
_cell_length_a 14.8899
_cell_length_b 3.3819
_cell_length_c 6.8665
_cell_angle_alpha 90.00
_cell_angle_beta 104.51
_cell_angle_gamma 90.00
loop_
_space_group_symop_operation_xyz
'x,y,z'
'-x,-y,-z'
'-x,y,-z'
'x,-y,z'
'x+1/2,y+1/2,z'
'-x+1/2,-y+1/2,-z'
'-x+1/2,y+1/2,-z'
'x+1/2,-y+1/2,z'
loop_
_atom_site_label
_atom_site_type_symbol
_atom_site_fract_x
_atom_site_fract_y
_atom_site_fract_z
Ca1 Ca 0.0000 0.0000 0.0000
Ca2 Ca 0.1688 0.5000 0.3331
Pu1 Pu 0.0000 0.0000 0.5000
Zr1 Zr 0.1694 0.5000 0.8390
N1 N 0.0099 0.5000 0.7336
N2 N 0.1602 0.0000 0.6073
N3 N 0.1747 0.0000 0.0690
```

Values from the calculation:
- Fermi-level density of states: 0.6460 states/eV per atom


# 2
Compound: CaPuZr2N4
Source: Alexandria via LeMat-Bulk
Functional: PBE-GGA
Structure: optimized geometry

```
data_CaPuZr2N4
_chemical_formula_sum 'Ca4 Pu4 Zr8 N16'
_space_group_name_H-M_alt 'I m m a'
_space_group_IT_number 74
_space_group_name_Hall '-I 2b 2'
_cell_length_a 6.6989
_cell_length_b 6.7662
_cell_length_c 9.4739
_cell_angle_alpha 90.00
_cell_angle_beta 90.00
_cell_angle_gamma 90.00
loop_
_atom_site_label
_atom_site_type_symbol
_atom_site_fract_x
_atom_site_fract_y
_atom_site_fract_z
Ca1 Ca 0.2500 0.2500 0.2500
Pu1 Pu 0.0000 0.0000 0.0000
Zr1 Zr 0.0000 0.0000 0.5000
Zr2 Zr 0.2500 0.2500 0.7500
N1 N 0.0000 0.0192 0.7452
N2 N 0.2410 0.2500 0.5081
```

Values from the calculation:
- Fermi-level density of states: 0.9602 states/eV per atom


# 3
Compound: Ca4Pu3ZrN8
Source: Alexandria via LeMat-Bulk
Functional: PBE-GGA
Structure: optimized geometry

```
data_Ca4Pu3ZrN8
_chemical_formula_sum 'Ca12 Pu9 Zr3 N24'
_space_group_name_H-M_alt 'R -3 m'
_space_group_IT_number 166
_space_group_name_Hall '-R 3 2"'
_cell_length_a 6.9076
_cell_length_b 6.9076
_cell_length_c 16.9488
_cell_angle_alpha 90.00
_cell_angle_beta 90.00
_cell_angle_gamma 120.00
loop_
_atom_site_label
_atom_site_type_symbol
_atom_site_fract_x
_atom_site_fract_y
_atom_site_fract_z
Ca1 Ca 0.0000 0.0000 0.0000
Ca2 Ca 0.0000 0.5000 0.0000
Pu1 Pu 0.0000 0.5000 0.5000
Zr1 Zr 0.0000 0.0000 0.5000
N1 N 0.0000 0.0000 0.2380
N2 N 0.0042 0.5021 0.2380
```

Values from the calculation:
- Fermi-level density of states: 1.3428 states/eV per atom


# 4
Compound: Ca2PuZrN4
Source: Alexandria via LeMat-Bulk
Functional: PBE-GGA
Structure: optimized geometry

```
data_Ca2PuZrN4
_chemical_formula_sum 'Ca2 Pu1 Zr1 N4'
_space_group_name_H-M_alt 'P 1 2/m 1'
_space_group_IT_number 10
_cell_length_a 5.8888
_cell_length_b 3.4144
_cell_length_c 5.9726
_cell_angle_alpha 90.00
_cell_angle_beta 109.04
_cell_angle_gamma 90.00
loop_
_space_group_symop_operation_xyz
'x,y,z'
'-x,-y,-z'
'-x,y,-z'
'x,-y,z'
loop_
_atom_site_label
_atom_site_type_symbol
_atom_site_fract_x
_atom_site_fract_y
_atom_site_fract_z
Ca1 Ca 0.0000 0.0000 0.0000
Ca2 Ca 0.5000 0.5000 0.0000
Pu1 Pu 0.0000 0.5000 0.5000
Zr1 Zr 0.5000 0.0000 0.5000
N1 N 0.2431 0.0000 0.7137
N2 N 0.2630 0.5000 0.2837
```

Values from the calculation:
- Fermi-level density of states: 0.8820 states/eV per atom


Formation energy without anion corrections in eV/atom, matching the order above: -1.385; -1.493; -1.269; -1.336
Ρ in g cm⁻³, matching the order above: 6.258; 8.083; 7.793; 6.896
Magnetization in μB per atom, matching the order above: 0.325; 0.598; 0.750; 0.499